First-principles (GGA-PBE) data for a geometry-optimized InRe3N structure, as listed in Alexandria.

CIF file:
```
data_InRe3N
_chemical_formula_sum 'In1 Re3 N1'
_cell_length_a 4.834
_cell_length_b 4.834
_cell_length_c 4.834
_cell_angle_alpha 90.00
_cell_angle_beta 90.00
_cell_angle_gamma 90.00
_space_group_name_H-M_alt 'P 1'
_space_group_IT_number 1
_space_group_name_Hall 'P 1'
loop_
_atom_site_label
_atom_site_type_symbol
_atom_site_fract_x
_atom_site_fract_y
_atom_site_fract_z
In1 In 0.000 0.000 0.000
N1 N 0.500 0.500 0.500
Re1 Re 0.500 0.000 0.000
Re2 Re 0.000 0.000 0.500
Re3 Re 0.000 0.500 0.000
```

Energy above the most stable polymorph in this dataset ... 19.43 eV/f.u.
Raw formation energy ... 22.0 eV/f.u.
E ... -26.44 eV for the cell shown
Calculated volume ... 22.59 Å³ per atom

=====

First-principles (GGA-PBE) data for a geometry-optimized In3ReN structure, as listed in Alexandria.

CIF file:
```
data_In3ReN
_chemical_formula_sum 'In3 Re1 N1'
_cell_length_a 4.515
_cell_length_b 4.515
_cell_length_c 4.515
_cell_angle_alpha 90.00
_cell_angle_beta 90.00
_cell_angle_gamma 90.00
_space_group_name_H-M_alt 'P 1'
_space_group_IT_number 1
_space_group_name_Hall 'P 1'
loop_
_atom_site_label
_atom_site_type_symbol
_atom_site_fract_x
_atom_site_fract_y
_atom_site_fract_z
Re1 Re 0.500 0.500 0.500
In1 In 0.500 0.000 0.000
In2 In 0.000 0.500 0.000
In3 In 0.000 0.000 0.500
N1 N 0.000 0.000 0.000
```

Energy above the most stable polymorph in this dataset ... 0.00 eV/f.u.
Raw formation energy ... 5.3 eV/f.u.
E ... -23.69 eV for the cell shown
Calculated volume ... 18.41 Å³ per atom

=====

First-principles (GGA-PBE) data for a geometry-optimized In2ReN structure, as listed in Alexandria.

CIF file:
```
data_In2ReN
_chemical_formula_sum 'In4 Re2 N2'
_cell_length_a 6.806
_cell_length_b 6.806
_cell_length_c 5.645
_cell_angle_alpha 52.93
_cell_angle_beta 52.93
_cell_angle_gamma 90.00
_space_group_name_H-M_alt 'P 1'
_space_group_IT_number 1
_space_group_name_Hall 'P 1'
loop_
_atom_site_label
_atom_site_type_symbol
_atom_site_fract_x
_atom_site_fract_y
_atom_site_fract_z
In1 In 0.559 0.125 0.250
In2 In 0.191 0.625 0.250
In3 In 0.375 0.441 0.750
In4 In 0.875 0.809 0.750
Re1 Re 0.000 0.000 0.000
Re2 Re 0.750 0.250 0.500
N1 N 0.500 0.500 0.000
N2 N 0.250 0.750 0.500
```

Raw formation energy ... 4.5 eV/f.u.
E ... -43.48 eV for the cell shown
Calculated volume ... 17.08 Å³ per atom

=====

First-principles (GGA-PBE) data for a geometry-optimized In3ReN structure, as listed in Alexandria.

CIF file:
```
data_In3ReN
_chemical_formula_sum 'In3 Re1 N1'
_cell_length_a 5.255
_cell_length_b 5.255
_cell_length_c 5.255
_cell_angle_alpha 90.00
_cell_angle_beta 90.00
_cell_angle_gamma 90.00
_space_group_name_H-M_alt 'P 1'
_space_group_IT_number 1
_space_group_name_Hall 'P 1'
loop_
_atom_site_label
_atom_site_type_symbol
_atom_site_fract_x
_atom_site_fract_y
_atom_site_fract_z
In1 In 0.000 0.500 0.000
In2 In 0.000 0.000 0.500
In3 In 0.500 0.000 0.000
Re1 Re 0.000 0.000 0.000
N1 N 0.500 0.500 0.500
```

Energy above the most stable polymorph in this dataset ... 1.63 eV/f.u.
Raw formation energy ... 6.9 eV/f.u.
E ... -22.06 eV for the cell shown
Calculated volume ... 29.02 Å³ per atom

=====

First-principles (GGA-PBE) data for a geometry-optimized InReS2N structure, as listed in Alexandria.

CIF file:
```
data_InReS2N
_chemical_formula_sum 'In1 Re1 S2 N1'
_cell_length_a 5.083
_cell_length_b 5.083
_cell_length_c 4.101
_cell_angle_alpha 90.00
_cell_angle_beta 90.00
_cell_angle_gamma 90.00
_space_group_name_H-M_alt 'P 1'
_space_group_IT_number 1
_space_group_name_Hall 'P 1'
loop_
_atom_site_label
_atom_site_type_symbol
_atom_site_fract_x
_atom_site_fract_y
_atom_site_fract_z
Re1 Re 0.500 0.500 0.500
S1 S 0.000 0.500 0.000
S2 S 0.500 0.000 0.000
In1 In 0.000 0.000 0.000
N1 N 0.000 0.000 0.500
```

Energy above the most stable polymorph in this dataset ... 8.28 eV/f.u.
Raw formation energy ... 8.8 eV/f.u.
E ... -23.01 eV for the cell shown
Calculated volume ... 21.20 Å³ per atom

=====

First-principles (GGA-PBE) data for a geometry-optimized InReS2N structure, as listed in Alexandria.

CIF file:
```
data_InReS2N
_chemical_formula_sum 'In1 Re1 S2 N1'
_cell_length_a 4.877
_cell_length_b 4.877
_cell_length_c 3.774
_cell_angle_alpha 90.00
_cell_angle_beta 90.00
_cell_angle_gamma 90.00
_space_group_name_H-M_alt 'P 1'
_space_group_IT_number 1
_space_group_name_Hall 'P 1'
loop_
_atom_site_label
_atom_site_type_symbol
_atom_site_fract_x
_atom_site_fract_y
_atom_site_fract_z
S1 S 0.000 0.500 0.000
S2 S 0.500 0.000 0.000
N1 N 0.000 0.000 0.500
In1 In 0.500 0.500 0.500
Re1 Re 0.000 0.000 0.000
```

Energy above the most stable polymorph in this dataset ... 0.00 eV/f.u.
Raw formation energy ... 0.5 eV/f.u.
E ... -31.28 eV for the cell shown
Calculated volume ... 17.95 Å³ per atom

=====

First-principles (GGA-PBE) data for a geometry-optimized InReSe2N structure, as listed in Alexandria.

CIF file:
```
data_InReSe2N
_chemical_formula_sum 'In1 Re1 Se2 N1'
_cell_length_a 5.179
_cell_length_b 5.179
_cell_length_c 3.759
_cell_angle_alpha 90.00
_cell_angle_beta 90.00
_cell_angle_gamma 90.00
_space_group_name_H-M_alt 'P 1'
_space_group_IT_number 1
_space_group_name_Hall 'P 1'
loop_
_atom_site_label
_atom_site_type_symbol
_atom_site_fract_x
_atom_site_fract_y
_atom_site_fract_z
Se1 Se 0.000 0.500 0.000
Se2 Se 0.500 0.000 0.000
In1 In 0.500 0.500 0.500
Re1 Re 0.000 0.000 0.000
N1 N 0.000 0.000 0.500
```

Energy above the most stable polymorph in this dataset ... 0.00 eV/f.u.
Raw formation energy ... 0.7 eV/f.u.
E ... -29.80 eV for the cell shown
Calculated volume ... 20.17 Å³ per atom

=====

First-principles (GGA-PBE) data for a geometry-optimized InReSe2N structure, as listed in Alexandria.

CIF file:
```
data_InReSe2N
_chemical_formula_sum 'In1 Re1 Se2 N1'
_cell_length_a 5.353
_cell_length_b 5.353
_cell_length_c 4.042
_cell_angle_alpha 90.00
_cell_angle_beta 90.00
_cell_angle_gamma 90.00
_space_group_name_H-M_alt 'P 1'
_space_group_IT_number 1
_space_group_name_Hall 'P 1'
loop_
_atom_site_label
_atom_site_type_symbol
_atom_site_fract_x
_atom_site_fract_y
_atom_site_fract_z
Se1 Se 0.500 0.000 0.000
Se2 Se 0.000 0.500 0.000
In1 In 0.000 0.000 0.000
N1 N 0.000 0.000 0.500
Re1 Re 0.500 0.500 0.500
```

Energy above the most stable polymorph in this dataset ... 7.90 eV/f.u.
Raw formation energy ... 8.6 eV/f.u.
E ... -21.91 eV for the cell shown
Calculated volume ... 23.17 Å³ per atom

=====

Question: Which of these has the highest raw formation energy?
Answer: InRe3N